Material: La2PrAu
Method: DFT, PBE
State: optimized geometry

Cell: 3.8174 3.8174 8.7503 Å, 90.00 90.00 90.00°
Positions (direct):
La 0.0000 0.0000 0.2084
La 0.0000 0.0000 0.7916
Pr 0.5000 0.5000 0.5000
Au 0.5000 0.5000 0.0000

Its excess energy over the best structure of this formula in the dataset is 0.17 eV/f.u. For the volume, the calculation gives 128 Å³ per cell. For the formation energy, the calculation gives -0.374 eV per atom. The energy is -4.852 eV/atom.


Material: Rb2NaTcCl6
Method: DFT, PBE
State: optimized geometry

Cell: 13.2822 13.2822 13.2822 Å, 31.74 31.74 31.74°
Positions (direct):
Rb 0.1296 0.1296 0.1296
Rb 0.2978 0.2978 0.2978
Rb 0.7022 0.7022 0.7022
Rb 0.8704 0.8704 0.8704
Na 0.4131 0.4131 0.4131
Na 0.5869 0.5869 0.5869
Tc 0.0000 0.0000 0.0000
Tc 0.5000 0.5000 0.5000
Cl 0.1466 0.6217 0.6217
Cl 0.1935 0.1935 0.7244
Cl 0.1935 0.7244 0.1935
Cl 0.2756 0.8065 0.8065
Cl 0.3783 0.3783 0.8534
Cl 0.3783 0.8534 0.3783
Cl 0.6217 0.1466 0.6217
Cl 0.6217 0.6217 0.1466
Cl 0.7244 0.1935 0.1935
Cl 0.8065 0.2756 0.8065
Cl 0.8065 0.8065 0.2756
Cl 0.8534 0.3783 0.3783

For the volume, the calculation gives 576 Å³ per cell. The energy is -3.868 eV/atom. For the uncorrected formation energy, the calculation gives -1.3981 eV/atom.


Material: NiH3Rh
Method: DFT, PBE
State: optimized geometry

Cell: 5.5982 4.4692 5.7719 Å, 90.00 109.09 90.00°
Positions (direct):
Ni 0.1092 0.2416 0.1078
Ni 0.1092 0.2584 0.6078
Ni 0.8908 0.7416 0.3922
Ni 0.8908 0.7584 0.8922
H 0.1204 0.0223 0.8630
H 0.1204 0.4777 0.3630
H 0.1849 0.6001 0.0337
H 0.1849 0.8999 0.5337
H 0.4069 0.1497 0.3151
H 0.4069 0.3503 0.8151
H 0.5931 0.6497 0.1849
H 0.5931 0.8503 0.6849
H 0.8151 0.1001 0.4663
H 0.8151 0.3999 0.9663
H 0.8796 0.5223 0.6370
H 0.8796 0.9777 0.1370
Rh 0.3662 0.7413 0.3458
Rh 0.3662 0.7587 0.8458
Rh 0.6338 0.2413 0.1542
Rh 0.6338 0.2587 0.6542

For the volume, the calculation gives 136 Å³ per cell. The energy is -4.599 eV/atom.


Material: KTaAg2Se4
Method: DFT, PBE
State: optimized geometry

Cell: 6.8399 6.8399 6.8399 Å, 121.49 109.33 98.43°
Positions (direct):
K 0.0000 0.0000 0.0000
Ta 0.5000 0.5000 0.0000
Ag 0.3365 0.8365 0.5000
Ag 0.6635 0.1635 0.5000
Se 0.1501 0.5315 0.0017
Se 0.4702 0.4685 0.6186
Se 0.5298 0.1484 0.9983
Se 0.8499 0.8516 0.3814

Its excess energy over the best structure of this formula in the dataset is 0.62 eV/f.u. For the volume, the calculation gives 236 Å³ per cell. The energy is -4.671 eV/atom. For the uncorrected formation energy, the calculation gives -0.5975 eV/atom.


Material: LaZn2Cl6
Method: DFT, PBE
State: optimized geometry

Cell: 7.1440 7.1440 9.8295 Å, 91.65 91.65 36.22°
Positions (direct):
La 0.0000 0.0000 0.0000
Zn 0.2381 0.2381 0.3577
Zn 0.7619 0.7619 0.6423
Cl 0.0766 0.0766 0.2640
Cl 0.1972 0.1972 0.6276
Cl 0.3783 0.3783 0.0598
Cl 0.6217 0.6217 0.9402
Cl 0.8028 0.8028 0.3724
Cl 0.9234 0.9234 0.7360

For the volume, the calculation gives 296 Å³ per cell. The energy is -3.478 eV/atom. For the uncorrected formation energy, the calculation gives -1.4168 eV/atom.


Material: CsNaSr3
Method: DFT, PBE
State: optimized geometry

Cell: 6.9081 6.9081 6.9081 Å, 90.00 90.00 90.00°
Positions (direct):
Cs 0.0000 0.0000 0.0000
Na 0.5000 0.5000 0.5000
Sr 0.0000 0.5000 0.5000
Sr 0.5000 0.0000 0.5000
Sr 0.5000 0.5000 0.0000

Its excess energy over the best structure of this formula in the dataset is 0.00 eV/f.u. For the volume, the calculation gives 330 Å³ per cell. For the formation energy, the calculation gives 0.243 eV per atom. The energy is -1.201 eV/atom.


Material: Nd5GaIr2
Method: DFT, PBE
State: optimized geometry

Cell: 8.8486 8.8486 8.8486 Å, 126.51 126.51 79.06°
Positions (direct):
Nd 0.0000 0.0000 0.0000
Nd 0.0267 0.5267 0.8283
Nd 0.1983 0.0267 0.5000
Nd 0.3017 0.8017 0.8283
Nd 0.4733 0.3017 0.5000
Nd 0.5000 0.5000 0.0000
Nd 0.5267 0.6983 0.5000
Nd 0.6983 0.1983 0.1717
Nd 0.8017 0.9733 0.5000
Nd 0.9733 0.4733 0.1717
Ga 0.2500 0.2500 0.0000
Ga 0.7500 0.7500 0.0000
Ir 0.1348 0.3652 0.5000
Ir 0.3652 0.8652 0.2305
Ir 0.6348 0.1348 0.7695
Ir 0.8652 0.6348 0.5000

For the volume, the calculation gives 433 Å³ per cell. For the formation energy, the calculation gives -0.552 eV per atom. The energy is -6.126 eV/atom.


Material: BaAg4Cl6
Method: DFT, PBE
State: optimized geometry

Cell: 6.0768 6.0876 8.6388 Å, 81.52 81.84 85.88°
Positions (direct):
Ba 0.0000 0.0000 0.0000
Ag 0.3122 0.3115 0.4468
Ag 0.6013 0.9813 0.6326
Ag 0.6417 0.6476 0.3298
Ag 0.9838 0.6008 0.6322
Cl 0.0476 0.0477 0.6295
Cl 0.0862 0.6430 0.3110
Cl 0.5105 0.9705 0.9313
Cl 0.5297 0.5288 0.6273
Cl 0.6427 0.0892 0.3098
Cl 0.9750 0.5102 0.9304

For the volume, the calculation gives 312 Å³ per cell. The energy is -3.153 eV/atom. For the uncorrected formation energy, the calculation gives -0.9338 eV/atom.


Material: InIr2Se
Method: DFT, PBE
State: optimized geometry

Cell: 5.2241 5.2241 5.2241 Å, 135.79 135.79 64.30°
Positions (direct):
In 0.0000 0.0000 0.0000
Ir 0.2500 0.7500 0.5000
Ir 0.5000 0.5000 0.0000
Se 0.7500 0.2500 0.5000

Its excess energy over the best structure of this formula in the dataset is 1.09 eV/f.u. For the volume, the calculation gives 68 Å³ per cell. The energy is -5.546 eV/atom. For the uncorrected formation energy, the calculation gives 0.4403 eV/atom.